1.
# BaTlGeIr

BaTlGeIr after structural relaxation (PBE-GGA, the Alexandria database).

a b c (Å): 4.297 4.297 12.348
angles (deg): 90.00 90.00 90.00
Sites, in units of the cell vectors:
Ba  0.250  0.250  0.231
Ba  0.750  0.750  0.769
Tl  0.250  0.750  0.500
Tl  0.750  0.250  0.500
Ge  0.250  0.250  0.896
Ge  0.750  0.750  0.104
Ir  0.250  0.750  0.000
Ir  0.750  0.250  0.000

ΔE_f = -0.456 eV per atom
size of the total moment = 0.00 μB per atom
crystal system = tetragonal

=====

2.
# Ba2TlGeIr

Ba2TlGeIr after structural relaxation (PBE-GGA, the Alexandria database).

a b c (Å): 6.192 6.192 4.739
angles (deg): 90.00 90.00 90.00
Sites, in units of the cell vectors:
Ba  0.000  0.500  0.000
Ba  0.500  0.000  0.000
Tl  0.000  0.000  0.500
Ge  0.500  0.500  0.500
Ir  0.500  0.500  0.000

ΔE_f = -0.290 eV per atom
size of the total moment = 0.07 μB per atom
crystal system = tetragonal

=====

3.
# BaZn2GeIr2

BaZn2GeIr2 after structural relaxation (PBE-GGA, the Alexandria database).

a b c (Å): 4.689 4.689 6.228
angles (deg): 90.00 90.00 90.00
Sites, in units of the cell vectors:
Ba  0.000  0.000  0.000
Zn  0.500  0.500  0.273
Zn  0.500  0.500  0.727
Ge  0.000  0.000  0.500
Ir  0.000  0.500  0.500
Ir  0.500  0.000  0.500

ΔE_f = -0.069 eV per atom
size of the total moment = 0.14 μB per atom
crystal system = tetragonal

=====

Number 1: calculated total energy -39.19 eV per cell. Number 2: calculated total energy -21.14 eV per cell. Number 3: calculated total energy -27.22 eV per cell.